Run P
VASP calculation (GGA-PBE) on a relaxed structure of Pr6Hg2Pd. Values from VASP.

## Properties
N(E_F), states/eV per cell: 23.551
Space-group type: P2_1/c
Density, g cm⁻³: 7.87

Structure (Quantum ESPRESSO input):
```
&SYSTEM
  ibrav = 0, nat = 18, ntyp = 3
/
ATOMIC_SPECIES
Pr 140.91 Pr.upf
Hg 200.59 Hg.upf
Pd 106.42 Pd.upf
CELL_PARAMETERS angstrom
6.3753 0.0000 0.0000
0.0000 8.3080 0.0000
-6.0506 0.0000 10.7764
ATOMIC_POSITIONS crystal
Pr 0.0835 0.2020 0.4504
Pr 0.0835 0.2980 0.9504
Pr 0.3065 0.6555 0.4501
Pr 0.3065 0.8445 0.9501
Pr 0.3734 0.0352 0.2430
Pr 0.3734 0.4648 0.7430
Pr 0.6266 0.5352 0.2570
Pr 0.6266 0.9648 0.7570
Pr 0.6935 0.1555 0.0499
Pr 0.6935 0.3445 0.5499
Pr 0.9165 0.7020 0.0496
Pr 0.9165 0.7980 0.5496
Hg 0.1371 0.1130 0.7332
Hg 0.1371 0.3870 0.2332
Hg 0.8629 0.6130 0.7668
Hg 0.8629 0.8870 0.2668
Pd 0.5000 0.0000 0.5000
Pd 0.5000 0.5000 0.0000
```



Run Q
VASP calculation (GGA-PBE) on a relaxed structure of Pr6Hg2Pd. Values from VASP.

## Properties
N(E_F), states/eV per cell: 8.072
Space-group type: P-62m
Density, g cm⁻³: 8.28

Structure (Quantum ESPRESSO input):
```
&SYSTEM
  ibrav = 0, nat = 9, ntyp = 3
/
ATOMIC_SPECIES
Pr 140.91 Pr.upf
Hg 200.59 Hg.upf
Pd 106.42 Pd.upf
CELL_PARAMETERS angstrom
9.0045 0.0000 0.0000
-4.5022 7.7981 0.0000
0.0000 0.0000 3.8623
ATOMIC_POSITIONS crystal
Pr 0.0000 0.2506 0.0000
Pr 0.0000 0.5972 0.5000
Pr 0.2506 0.0000 0.0000
Pr 0.4028 0.4028 0.5000
Pr 0.5972 0.0000 0.5000
Pr 0.7494 0.7494 0.0000
Hg 0.3333 0.6667 0.0000
Hg 0.6667 0.3333 0.0000
Pd 0.0000 0.0000 0.5000
```



The most stable arrangement is run Q, and the next structure is 9.2 kJ/mol of atoms less stable.